# PBE Fe2Mo, optimized geometry
# N(E_F) ... 14.2 states/eV per cell
# Energy relative to the elements ... 0.369 eV per atom
data_Fe2Mo
_symmetry_space_group_name_H-M 'I m m a'
_symmetry_Int_Tables_number 74
_symmetry_space_group_name_Hall '-I 2b 2'
_cell_length_a 2.6004
_cell_length_b 4.0456
_cell_length_c 14.8548
_cell_angle_alpha 90.00
_cell_angle_beta 90.00
_cell_angle_gamma 90.00
loop_
_atom_site_label
_atom_site_fract_x
_atom_site_fract_y
_atom_site_fract_z
Fe1 0.0000 0.2500 0.0338
Fe2 0.0000 0.2500 0.1894
Mo1 0.0000 0.2500 0.6333

# PBE Hf2Co2Hg, optimized geometry
# N(E_F) ... 7.8 states/eV per cell
# Energy relative to the elements ... 0.044 eV per atom
data_Hf2Co2Hg
_symmetry_space_group_name_H-M 'I 4/m m m'
_symmetry_Int_Tables_number 139
_symmetry_space_group_name_Hall '-I 4 2'
_cell_length_a 3.6397
_cell_length_b 3.6397
_cell_length_c 13.9403
_cell_angle_alpha 90.00
_cell_angle_beta 90.00
_cell_angle_gamma 90.00
loop_
_atom_site_label
_atom_site_fract_x
_atom_site_fract_y
_atom_site_fract_z
Hf1 0.0000 0.0000 0.1267
Co1 0.0000 0.5000 0.2500
Hg1 0.0000 0.0000 0.5000

# PBE Ba2Sr3Ca4, optimized geometry
# N(E_F) ... 22.9 states/eV per cell
# Energy relative to the elements ... 0.030 eV per atom
data_Ba2Sr3Ca4
_symmetry_space_group_name_H-M 'C 1 2/m 1'
_symmetry_Int_Tables_number 12
_symmetry_space_group_name_Hall '-C 2y'
_cell_length_a 19.3736
_cell_length_b 4.8407
_cell_length_c 10.1253
_cell_angle_alpha 90.00
_cell_angle_beta 108.18
_cell_angle_gamma 90.00
loop_
_atom_site_label
_atom_site_fract_x
_atom_site_fract_y
_atom_site_fract_z
Ba1 0.1664 0.0000 0.0074
Sr1 0.0000 0.5000 0.0000
Sr2 0.1097 0.5000 0.6533
Ca1 0.0579 0.0000 0.3281
Ca2 0.2204 0.5000 0.3456